No. 1
# Ca8P2N, relaxed, DFT GGA-PBE
# Final energy: -3.70 eV/atom
# Symmetry: C2/m
# Volume: 379.4 Å³ per cell
# Energy relative to the elements, uncorrected: -11.62 kcal/mol of atoms
data_Ca8P2N
_chemical_formula_sum 'Ca8 P2 N1'
_space_group_name_H-M_alt 'P 1'
_space_group_IT_number 1
_space_group_name_Hall 'P 1'
_cell_length_a 6.919
_cell_length_b 7.522
_cell_length_c 7.522
_cell_angle_alpha 84.09
_cell_angle_beta 80.35
_cell_angle_gamma 80.35
loop_
_atom_site_label
_atom_site_type_symbol
_atom_site_fract_x
_atom_site_fract_y
_atom_site_fract_z
Ca1 Ca 0.267 0.394 0.394
Ca2 Ca 0.733 0.606 0.606
Ca3 Ca 0.240 0.877 0.195
Ca4 Ca 0.169 0.774 0.774
Ca5 Ca 0.831 0.226 0.226
Ca6 Ca 0.240 0.195 0.877
Ca7 Ca 0.760 0.123 0.805
Ca8 Ca 0.760 0.805 0.123
P1 P 0.523 0.841 0.841
P2 P 0.477 0.159 0.159
N1 N 0.000 0.000 0.000

No. 2
# MgPtBr2, relaxed, DFT GGA-PBE
# Final energy: -2.78 eV/atom
# Symmetry: Cmmm
# Volume: 99.7 Å³ per cell
# Energy relative to the elements, uncorrected: -0.91 kcal/mol of atoms
data_MgPtBr2
_chemical_formula_sum 'Mg1 Pt1 Br2'
_space_group_name_H-M_alt 'P 1'
_space_group_IT_number 1
_space_group_name_Hall 'P 1'
_cell_length_a 4.074
_cell_length_b 4.074
_cell_length_c 6.860
_cell_angle_alpha 90.00
_cell_angle_beta 90.00
_cell_angle_gamma 118.81
loop_
_atom_site_label
_atom_site_type_symbol
_atom_site_fract_x
_atom_site_fract_y
_atom_site_fract_z
Mg1 Mg 0.500 0.500 0.250
Pt1 Pt 0.500 0.500 0.750
Br1 Br 0.000 0.000 0.507
Br2 Br 0.000 0.000 0.993

No. 3
# La2PrI8, relaxed, DFT GGA-PBE
# Final energy: -3.77 eV/atom
# Symmetry: C2/m
# Volume: 632.0 Å³ per cell
# Energy relative to the elements, uncorrected: -30.22 kcal/mol of atoms
data_La2PrI8
_chemical_formula_sum 'La2 Pr1 I8'
_space_group_name_H-M_alt 'P 1'
_space_group_IT_number 1
_space_group_name_Hall 'P 1'
_cell_length_a 6.618
_cell_length_b 9.984
_cell_length_c 9.984
_cell_angle_alpha 73.36
_cell_angle_beta 89.27
_cell_angle_gamma 89.27
loop_
_atom_site_label
_atom_site_type_symbol
_atom_site_fract_x
_atom_site_fract_y
_atom_site_fract_z
La1 La 0.277 0.209 0.209
I1 I 0.774 0.184 0.184
I2 I 0.748 0.606 0.606
I3 I 0.746 0.719 0.114
I4 I 0.252 0.394 0.394
I5 I 0.226 0.816 0.816
Pr1 Pr 0.000 0.000 0.000
I6 I 0.746 0.114 0.719
La2 La 0.723 0.791 0.791
I7 I 0.254 0.886 0.281
I8 I 0.254 0.281 0.886

No. 4
# Cd2FeCS, relaxed, DFT GGA-PBE
# Final energy: -3.07 eV/atom
# Symmetry: P4/mmm
# Volume: 100.9 Å³ per cell
# Energy relative to the elements, uncorrected: 38.33 kcal/mol of atoms
data_Cd2FeCS
_chemical_formula_sum 'Cd2 Fe1 C1 S1'
_space_group_name_H-M_alt 'P 1'
_space_group_IT_number 1
_space_group_name_Hall 'P 1'
_cell_length_a 5.023
_cell_length_b 3.999
_cell_length_c 5.023
_cell_angle_alpha 90.00
_cell_angle_beta 90.00
_cell_angle_gamma 90.00
loop_
_atom_site_label
_atom_site_type_symbol
_atom_site_fract_x
_atom_site_fract_y
_atom_site_fract_z
S1 S 0.000 0.000 0.000
Cd1 Cd 0.500 0.000 0.000
Cd2 Cd 0.000 0.000 0.500
Fe1 Fe 0.000 0.500 0.000
C1 C 0.500 0.500 0.500

No. 5
# MgCdAu2, relaxed, DFT GGA-PBE
# Calculated formation energy: -1.52 eV per formula unit
# Final energy: -2.65 eV/atom
# Symmetry: Imm2
# Volume: 74.3 Å³ per cell
data_MgCdAu2
_chemical_formula_sum 'Mg1 Cd1 Au2'
_space_group_name_H-M_alt 'P 1'
_space_group_IT_number 1
_space_group_name_Hall 'P 1'
_cell_length_a 5.251
_cell_length_b 5.251
_cell_length_c 4.140
_cell_angle_alpha 66.77
_cell_angle_beta 66.77
_cell_angle_gamma 46.07
loop_
_atom_site_label
_atom_site_type_symbol
_atom_site_fract_x
_atom_site_fract_y
_atom_site_fract_z
Au1 Au 0.750 0.750 0.750
Cd1 Cd 0.500 0.500 0.500
Au2 Au 0.000 0.000 0.000
Mg1 Mg 0.250 0.250 0.250

No. 6
# Co2Si2Pd, relaxed, DFT GGA-PBE
# Final energy: -6.58 eV/atom
# Symmetry: P4/mbm
# Volume: 118.8 Å³ per cell
# Energy relative to the elements, uncorrected: -12.24 kcal/mol of atoms
data_Co2Si2Pd
_chemical_formula_sum 'Co4 Si4 Pd2'
_space_group_name_H-M_alt 'P 1'
_space_group_IT_number 1
_space_group_name_Hall 'P 1'
_cell_length_a 6.677
_cell_length_b 6.677
_cell_length_c 2.665
_cell_angle_alpha 90.00
_cell_angle_beta 90.00
_cell_angle_gamma 90.00
loop_
_atom_site_label
_atom_site_type_symbol
_atom_site_fract_x
_atom_site_fract_y
_atom_site_fract_z
Co1 Co 0.142 0.642 0.500
Pd1 Pd 0.000 0.000 0.000
Si1 Si 0.849 0.651 0.000
Co2 Co 0.858 0.358 0.500
Co3 Co 0.358 0.142 0.500
Si2 Si 0.349 0.849 0.000
Pd2 Pd 0.500 0.500 0.000
Si3 Si 0.151 0.349 0.000
Co4 Co 0.642 0.858 0.500
Si4 Si 0.651 0.151 0.000

Question: The lowest final energy belongs to which entry?
Answer: Co2Si2Pd

Question: Look up the final energy of the fourth one.
Answer: -3.07 eV/atom